# BaNa3N, optimized geometry, DFT PBE-GGA
# Distance to the lowest polymorph of the same formula ... 1464 meV/atom
data_BaNa3N
_chemical_formula_sum 'Ba1 Na3 N1'
_cell_length_a 6.999
_cell_length_b 6.999
_cell_length_c 6.999
_cell_angle_alpha 90.00
_cell_angle_beta 90.00
_cell_angle_gamma 90.00
_space_group_name_H-M_alt 'P m -3 m'
_space_group_IT_number 221
_space_group_name_Hall '-P 4 2 3'
loop_
_atom_site_label
_atom_site_type_symbol
_atom_site_fract_x
_atom_site_fract_y
_atom_site_fract_z
Ba1 Ba 0.000 0.000 0.000
Na1 Na 0.000 0.000 0.500
N1 N 0.500 0.500 0.500

# Ba3Na2N, optimized geometry, DFT PBE-GGA
# Distance to the lowest polymorph of the same formula ... 0 meV/atom
data_Ba3Na2N
_chemical_formula_sum 'Ba12 Na8 N4'
_cell_length_a 12.963
_cell_length_b 10.696
_cell_length_c 7.655
_cell_angle_alpha 90.00
_cell_angle_beta 90.01
_cell_angle_gamma 90.00
_space_group_name_H-M_alt 'C 1 2/c 1'
_space_group_IT_number 15
_space_group_name_Hall '-C 2yc'
loop_
_atom_site_label
_atom_site_type_symbol
_atom_site_fract_x
_atom_site_fract_y
_atom_site_fract_z
Ba1 Ba 0.000 0.190 0.250
Ba2 Ba 0.136 0.496 0.503
Na1 Na 0.134 0.171 0.756
N1 N 0.000 0.429 0.250

A plane-wave DFT calculation with PBE-GGA was carried out for crystalline Ba7NaN2 at its relaxed geometry.

```
data_Ba7NaN2
_chemical_formula_sum 'Ba14 Na2 N4'
_cell_length_a 10.019
_cell_length_b 20.763
_cell_length_c 4.566
_cell_angle_alpha 90.00
_cell_angle_beta 90.00
_cell_angle_gamma 90.00
_space_group_name_H-M_alt 'C m m m'
_space_group_IT_number 65
_space_group_name_Hall '-C 2 2'
loop_
_atom_site_label
_atom_site_type_symbol
_atom_site_fract_x
_atom_site_fract_y
_atom_site_fract_z
Ba1 Ba 0.000 0.000 0.000
Ba2 Ba 0.000 0.205 0.500
Ba3 Ba 0.238 0.370 0.000
Na1 Na 0.000 0.500 0.500
N1 N 0.000 0.134 0.000
```

A plane-wave DFT calculation with PBE-GGA was carried out for crystalline Ba5NaN at its relaxed geometry.

```
data_Ba5NaN
_chemical_formula_sum 'Ba20 Na4 N4'
_cell_length_a 14.208
_cell_length_b 8.319
_cell_length_c 12.691
_cell_angle_alpha 90.00
_cell_angle_beta 115.42
_cell_angle_gamma 90.00
_space_group_name_H-M_alt 'C 1 2/c 1'
_space_group_IT_number 15
_space_group_name_Hall '-C 2yc'
loop_
_atom_site_label
_atom_site_type_symbol
_atom_site_fract_x
_atom_site_fract_y
_atom_site_fract_z
Ba1 Ba 0.000 0.023 0.250
Ba2 Ba 0.113 0.281 0.038
Ba3 Ba 0.175 0.165 0.601
Na1 Na 0.000 0.498 0.750
N1 N 0.000 0.000 0.000
```

A plane-wave DFT calculation with PBE-GGA was carried out for crystalline Ba7Na3N2 at its relaxed geometry.

```
data_Ba7Na3N2
_chemical_formula_sum 'Ba14 Na6 N4'
_cell_length_a 5.776
_cell_length_b 40.568
_cell_length_c 5.776
_cell_angle_alpha 90.00
_cell_angle_beta 90.00
_cell_angle_gamma 90.00
_space_group_name_H-M_alt 'C m m m'
_space_group_IT_number 65
_space_group_name_Hall '-C 2 2'
loop_
_atom_site_label
_atom_site_type_symbol
_atom_site_fract_x
_atom_site_fract_y
_atom_site_fract_z
Ba1 Ba 0.000 0.000 0.000
Ba2 Ba 0.000 0.072 0.500
Ba3 Ba 0.000 0.141 0.000
Ba4 Ba 0.000 0.428 0.000
Na1 Na 0.000 0.352 0.500
Na2 Na 0.000 0.500 0.500
N1 N 0.000 0.079 0.000
```

A plane-wave DFT calculation with PBE-GGA was carried out for crystalline Ba4NaN2 at its relaxed geometry.

```
data_Ba4NaN2
_chemical_formula_sum 'Ba8 Na2 N4'
_cell_length_a 19.902
_cell_length_b 4.064
_cell_length_c 6.992
_cell_angle_alpha 90.00
_cell_angle_beta 106.86
_cell_angle_gamma 90.00
_space_group_name_H-M_alt 'C 1 2/m 1'
_space_group_IT_number 12
_space_group_name_Hall '-C 2y'
loop_
_atom_site_label
_atom_site_type_symbol
_atom_site_fract_x
_atom_site_fract_y
_atom_site_fract_z
Ba1 Ba 0.169 0.000 0.014
Ba2 Ba 0.173 0.500 0.520
Na1 Na 0.000 0.000 0.500
N1 N 0.248 0.500 0.243
```

A plane-wave DFT calculation with PBE-GGA was carried out for crystalline Ba8Na2N3 at its relaxed geometry.

```
data_Ba8Na2N3
_chemical_formula_sum 'Ba16 Na4 N6'
_cell_length_a 18.513
_cell_length_b 8.270
_cell_length_c 7.295
_cell_angle_alpha 90.00
_cell_angle_beta 102.49
_cell_angle_gamma 90.00
_space_group_name_H-M_alt 'C 1 2/m 1'
_space_group_IT_number 12
_space_group_name_Hall '-C 2y'
loop_
_atom_site_label
_atom_site_type_symbol
_atom_site_fract_x
_atom_site_fract_y
_atom_site_fract_z
Ba1 Ba 0.076 0.235 0.366
Ba2 Ba 0.091 0.000 0.886
Ba3 Ba 0.096 0.500 0.944
Na1 Na 0.242 0.500 0.598
N1 N 0.000 0.000 0.500
N2 N 0.000 0.252 0.000
```

A plane-wave DFT calculation with PBE-GGA was carried out for crystalline Ba6Na12N at its relaxed geometry.

```
data_Ba6Na12N
_chemical_formula_sum 'Ba18 Na36 N3'
_cell_length_a 16.7382
_cell_length_b 16.7382
_cell_length_c 10.3339
_cell_angle_alpha 90.00
_cell_angle_beta 90.00
_cell_angle_gamma 120.00
_space_group_name_H-M_alt 'R -3'
_space_group_IT_number 148
_space_group_name_Hall '-R 3'
loop_
_atom_site_label
_atom_site_type_symbol
_atom_site_fract_x
_atom_site_fract_y
_atom_site_fract_z
Ba1 Ba 0.0784 0.9210 0.3368
Na1 Na 0.0001 0.3195 0.4994
Na2 Na 0.0788 0.5396 0.6316
N1 N 0.0000 0.0000 0.5000
```

A plane-wave DFT calculation with PBE-GGA was carried out for crystalline BaNa2N at its relaxed geometry.

```
data_BaNa2N
_chemical_formula_sum 'Ba4 Na8 N4'
_cell_length_a 6.906
_cell_length_b 6.906
_cell_length_c 11.407
_cell_angle_alpha 90.00
_cell_angle_beta 90.00
_cell_angle_gamma 90.00
_space_group_name_H-M_alt 'I 41/a m d'
_space_group_IT_number 141
loop_
_space_group_symop_operation_xyz
'x,y,z'
'-x,-y,-z'
'-y+1/4,x+3/4,z+1/4'
'y+1/4,-x+3/4,-z+1/4'
'-x+1/2,-y,z+1/2'
'x+1/2,y,-z+1/2'
'y+1/4,-x+1/4,z+3/4'
'-y+1/4,x+1/4,-z+3/4'
'x,-y,-z'
'-x,y,z'
'-y+1/4,-x+1/4,-z+3/4'
'y+1/4,x+1/4,z+3/4'
'-x+1/2,y,-z+1/2'
'x+1/2,-y,z+1/2'
'y+1/4,x+3/4,-z+1/4'
'-y+1/4,-x+3/4,z+1/4'
'x+1/2,y+1/2,z+1/2'
'-x+1/2,-y+1/2,-z+1/2'
'-y+3/4,x+1/4,z+3/4'
'y+3/4,-x+1/4,-z+3/4'
'-x,-y+1/2,z'
'x,y+1/2,-z'
'y+3/4,-x+3/4,z+1/4'
'-y+3/4,x+3/4,-z+1/4'
'x+1/2,-y+1/2,-z+1/2'
'-x+1/2,y+1/2,z+1/2'
'-y+3/4,-x+3/4,-z+1/4'
'y+3/4,x+3/4,z+1/4'
'-x,y+1/2,-z'
'x,-y+1/2,z'
'y+3/4,x+1/4,-z+3/4'
'-y+3/4,-x+1/4,z+3/4'
loop_
_atom_site_label
_atom_site_type_symbol
_atom_site_fract_x
_atom_site_fract_y
_atom_site_fract_z
Ba1 Ba 0.000 0.250 0.375
Na1 Na 0.000 0.000 0.000
N1 N 0.000 0.250 0.875
```

A plane-wave DFT calculation with PBE-GGA was carried out for crystalline Ba5Na2N2 at its relaxed geometry.

```
data_Ba5Na2N2
_chemical_formula_sum 'Ba10 Na4 N4'
_cell_length_a 15.021
_cell_length_b 5.255
_cell_length_c 9.615
_cell_angle_alpha 90.00
_cell_angle_beta 92.90
_cell_angle_gamma 90.00
_space_group_name_H-M_alt 'C 1 2/m 1'
_space_group_IT_number 12
_space_group_name_Hall '-C 2y'
loop_
_atom_site_label
_atom_site_type_symbol
_atom_site_fract_x
_atom_site_fract_y
_atom_site_fract_z
Ba1 Ba 0.000 0.000 0.000
Ba2 Ba 0.136 0.000 0.363
Ba3 Ba 0.239 0.500 0.125
Na1 Na 0.078 0.500 0.673
N1 N 0.171 0.000 0.110
```

# Ba4Na3N2, optimized geometry, DFT PBE-GGA
# Distance to the lowest polymorph of the same formula ... 67 meV/atom
data_Ba4Na3N2
_chemical_formula_sum 'Ba8 Na6 N4'
_cell_length_a 14.469
_cell_length_b 4.716
_cell_length_c 11.136
_cell_angle_alpha 90.00
_cell_angle_beta 106.97
_cell_angle_gamma 90.00
_space_group_name_H-M_alt 'C 1 2/m 1'
_space_group_IT_number 12
_space_group_name_Hall '-C 2y'
loop_
_atom_site_label
_atom_site_type_symbol
_atom_site_fract_x
_atom_site_fract_y
_atom_site_fract_z
Ba1 Ba 0.146 0.000 0.455
Ba2 Ba 0.233 0.500 0.169
Na1 Na 0.000 0.000 0.000
Na2 Na 0.002 0.500 0.238
N1 N 0.185 0.500 0.360

# Ba6Na2N, optimized geometry, DFT PBE-GGA
# Distance to the lowest polymorph of the same formula ... 0 meV/atom
data_Ba6Na2N
_chemical_formula_sum 'Ba12 Na4 N2'
_cell_length_a 8.136
_cell_length_b 11.225
_cell_length_c 11.712
_cell_angle_alpha 90.00
_cell_angle_beta 124.00
_cell_angle_gamma 90.00
_space_group_name_H-M_alt 'P 1 21/c 1'
_space_group_IT_number 14
_space_group_name_Hall '-P 2ybc'
loop_
_atom_site_label
_atom_site_type_symbol
_atom_site_fract_x
_atom_site_fract_y
_atom_site_fract_z
Ba1 Ba 0.180 0.032 0.283
Ba2 Ba 0.210 0.717 0.554
Ba3 Ba 0.308 0.132 0.018
Na1 Na 0.257 0.062 0.667
N1 N 0.000 0.000 0.000

Raw formation energy values, unit meV/atom, following the record order: 1895 -180 -157 -83 -105 -283 -185 10 552 -215 -174 -85.
Size of the total moment values, unit μB/atom, following the record order: 0.000 0.000 0.000 0.000 0.000 0.000 0.087 0.000 0.000 0.000 0.000 0.000.